This record from the Alexandria database describes an optimized crystal structure of AcCoPbO4. The functional is PBE+U.

Summary:
The total magnetization comes out at 4.00 μB/f.u. The total energy is -6.4064 eV/atom. Its space group is No. 11.

The structure in POSCAR format:
```
AcCoPbO4
1.0
5.851 0.000 0.000
0.000 5.875 0.000
-2.297 0.000 6.993
Ac Co Pb O
2 2 2 8
Direct
0.216 0.250 0.007 Ac
0.784 0.750 0.993 Ac
0.210 0.750 0.770 Co
0.790 0.250 0.230 Co
0.291 0.250 0.513 Pb
0.709 0.750 0.487 Pb
0.022 0.022 0.252 O
0.022 0.478 0.252 O
0.386 0.750 0.031 O
0.456 0.750 0.663 O
0.544 0.250 0.337 O
0.614 0.250 0.969 O
0.978 0.522 0.748 O
0.978 0.978 0.748 O
```